Record 1
This record from Alexandria via LeMat-Bulk describes a relaxed HoSc3Sn2 crystal. The functional is PBE.

Lattice parameters (Å, degrees): 4.6610 8.2930 8.8705 117.87 105.23 90.00
Last column: magnetic moment on the atom in μB.
Atoms (fractional coordinates):
Ho  0.0000  0.0000  0.0000  0.19
Sn  0.6518  0.1518  0.3036  -0.01
Sc  0.1765  0.9265  0.3530  0.16
Sc  0.1765  0.4265  0.3530  0.16
Sc  0.8235  0.0735  0.6470  0.16
Sn  0.3482  0.3482  0.6964  -0.01
Sc  0.5000  0.7500  0.0000  0.21
Sn  0.3482  0.8482  0.6964  -0.01
Ho  0.0000  0.5000  0.0000  0.19
Sc  0.5000  0.2500  0.0000  0.21
Sn  0.6518  0.6518  0.3036  -0.01
Sc  0.8235  0.5735  0.6470  0.16

* magnetization: 0.99 μB per formula unit
* formation energy: -0.477 eV per atom

---

Record 2
This record from Alexandria via LeMat-Bulk describes a relaxed HoScSn crystal. The functional is PBE.

Lattice parameters (Å, degrees): 4.9857 4.9857 7.2433 90.00 90.00 120.00
Atoms (fractional coordinates):
Sn  0.0000  0.0000  0.2272
Sn  0.0000  0.0000  0.7728
Ho  0.6667  0.3333  0.6186
Sc  0.3333  0.6667  0.8951
Sc  0.6667  0.3333  0.1049
Ho  0.3333  0.6667  0.3814

* magnetization: 0.00 μB per formula unit
* formation energy: -0.351 eV per atom
* distance to the lowest polymorph of the same formula: 0.2721 eV per atom

---

Record 3
This record from Alexandria via LeMat-Bulk describes a relaxed Ho2ScSn crystal. The functional is PBE.

Lattice parameters (Å, degrees): 4.0786 4.0786 6.4304 90.00 90.00 90.00
Atoms (fractional coordinates):
Ho  0.0000  0.0000  0.2582
Ho  0.0000  0.0000  0.7418
Sn  0.5000  0.5000  0.5000
Sc  0.5000  0.5000  0.0000

* magnetization: 0.00 μB per formula unit
* formation energy: -0.351 eV per atom
* distance to the lowest polymorph of the same formula: 0.0518 eV per atom

---

Record 4
This record from Alexandria via LeMat-Bulk describes a relaxed Ho2ScSn crystal. The functional is PBE.

Lattice parameters (Å, degrees): 3.4310 3.4310 11.7331 81.59 81.59 60.00
Atoms (fractional coordinates):
Ho  0.9102  0.9102  0.2694
Sn  0.0000  0.0000  0.0000
Ho  0.0898  0.0898  0.7306
Sc  0.5000  0.5000  0.5000

* magnetization: 0.00 μB per formula unit
* formation energy: 0.054 eV per atom
* distance to the lowest polymorph of the same formula: 0.4568 eV per atom

---

Listing calculated total energy for the structures above in their given order: -34.4 -16.0 -20.9 -19.3 eV per formula unit.